Material: OsPtSe2
Method: DFT, PBE
State: optimized geometry

Summary:
Energy relative to the elements, uncorrected (kJ per mole of atoms): 50
Calculated total energy (eV/atom): -5.538
Spin magnetization (μB/atom): 0.000

Cell: 2.721 4.280 6.044 Å, 90.00 90.12 90.00°
Positions (direct):
Os 0.000 0.000 0.000
Pt 0.000 0.000 0.500
Se 0.002 0.500 0.240
Se 0.998 0.500 0.760